(1)
Below is a relaxed structure of SrAs2Br, with properties calculated at the PBE level.

a b c (Å): 3.6679 3.6679 27.8994
angles (deg): 90.00 90.00 120.00
Fractional positions:
Sr 0.0000 0.0000 0.0000
Sr 0.3333 0.6667 0.6667
Sr 0.6667 0.3333 0.3333
As 0.0000 0.0000 0.2456
As 0.0000 0.0000 0.7544
As 0.3333 0.6667 0.4211
As 0.3333 0.6667 0.9122
As 0.6667 0.3333 0.0878
As 0.6667 0.3333 0.5789
Br 0.0000 0.0000 0.5000
Br 0.3333 0.6667 0.1667
Br 0.6667 0.3333 0.8333

Summary:
For the volume, the calculation gives 325.05 Å³/cell. The energy above the most stable polymorph in this dataset is 1160.2 meV/atom. Its energy relative to the elements, uncorrected is 0.25 eV per atom.

***

(2)
Below is a relaxed structure of Ru, with properties calculated at the PBE level.

a b c (Å): 2.7358 2.7358 4.2858
angles (deg): 90.00 90.00 120.00
Fractional positions:
Ru 0.3333 0.6667 0.2500
Ru 0.6667 0.3333 0.7500

Summary:
Its formation energy from the elements is 0.0 eV per formula unit. For the volume, the calculation gives 27.78 Å³/cell. The energy above the most stable polymorph in this dataset is 0.0 meV/atom.

***

(3)
Below is a relaxed structure of GaSiN2, with properties calculated at the PBE level.

a b c (Å): 5.3725 5.3725 5.3725
angles (deg): 90.00 90.00 90.00
Fractional positions:
Ga 0.0000 0.0000 0.0000
Ga 0.0000 0.5000 0.5000
Ga 0.5000 0.0000 0.5000
Ga 0.5000 0.5000 0.0000
Si 0.0000 0.0000 0.5000
Si 0.0000 0.5000 0.0000
Si 0.5000 0.0000 0.0000
Si 0.5000 0.5000 0.5000
N 0.2500 0.2500 0.2500
N 0.2500 0.2500 0.7500
N 0.2500 0.7500 0.2500
N 0.2500 0.7500 0.7500
N 0.7500 0.2500 0.2500
N 0.7500 0.2500 0.7500
N 0.7500 0.7500 0.2500
N 0.7500 0.7500 0.7500

Summary:
For the volume, the calculation gives 155.07 Å³/cell. The energy above the most stable polymorph in this dataset is 1519.7 meV/atom. Its energy relative to the elements, uncorrected is 1.19 eV per atom.

***

(4)
Below is a relaxed structure of Ba5SiAs6, with properties calculated at the PBE level.

a b c (Å): 9.3697 9.3697 6.2120
angles (deg): 99.33 99.33 127.88
Fractional positions:
Ba 0.0000 0.0000 0.0000
Ba 0.1826 0.8174 0.5000
Ba 0.3882 0.6118 0.0000
Ba 0.6118 0.3882 0.0000
Ba 0.8174 0.1826 0.5000
Si 0.5000 0.5000 0.5000
As 0.0275 0.6167 0.9054
As 0.2140 0.2140 0.5748
As 0.3833 0.9725 0.0946
As 0.6167 0.0275 0.9054
As 0.7860 0.7860 0.4252
As 0.9725 0.3833 0.0946

Summary:
For the volume, the calculation gives 400.06 Å³/cell. Its energy relative to the elements, uncorrected is -0.74 eV per atom.

***

(5)
Below is a relaxed structure of Pa2TlI8, with properties calculated at the PBE level.

a b c (Å): 10.1555 10.1555 6.2347
angles (deg): 90.42 90.42 77.75
Fractional positions:
Pa 0.2068 0.2068 0.2291
Pa 0.7932 0.7932 0.7709
Tl 0.0000 0.0000 0.0000
I 0.0858 0.6725 0.7502
I 0.2038 0.2038 0.7344
I 0.3275 0.9142 0.2498
I 0.3911 0.3911 0.2492
I 0.6089 0.6089 0.7508
I 0.6725 0.0858 0.7502
I 0.7962 0.7962 0.2656
I 0.9142 0.3275 0.2498

Summary:
For the volume, the calculation gives 628.35 Å³/cell. The energy above the most stable polymorph in this dataset is 0.0 meV/atom. Its energy relative to the elements, uncorrected is -0.72 eV per atom.

***

(6)
Below is a relaxed structure of AgBI3, with properties calculated at the PBE level.

a b c (Å): 5.1895 5.1895 5.1895
angles (deg): 90.00 90.00 90.00
Fractional positions:
Ag 0.0000 0.0000 0.0000
B 0.5000 0.5000 0.5000
I 0.0000 0.5000 0.5000
I 0.5000 0.0000 0.5000
I 0.5000 0.5000 0.0000

Summary:
For the volume, the calculation gives 139.76 Å³/cell. The energy above the most stable polymorph in this dataset is 0.0 meV/atom. Its energy relative to the elements, uncorrected is 0.71 eV per atom.

***

(7)
Below is a relaxed structure of Pr3Al5H12, with properties calculated at the PBE level.

a b c (Å): 10.6419 10.6419 10.6419
angles (deg): 109.47 109.47 109.47
Fractional positions:
Pr 0.1250 0.2500 0.3750
Pr 0.1250 0.3750 0.7500
Pr 0.2500 0.3750 0.1250
Pr 0.2500 0.8750 0.6250
Pr 0.3750 0.1250 0.2500
Pr 0.3750 0.7500 0.1250
Pr 0.6250 0.2500 0.8750
Pr 0.6250 0.8750 0.7500
Pr 0.7500 0.1250 0.3750
Pr 0.7500 0.6250 0.8750
Pr 0.8750 0.6250 0.2500
Pr 0.8750 0.7500 0.6250
Al 0.0000 0.0000 0.0000
Al 0.0000 0.0000 0.5000
Al 0.0000 0.5000 0.0000
Al 0.0000 0.5000 0.5000
Al 0.1250 0.7500 0.8750
Al 0.1250 0.8750 0.2500
Al 0.2500 0.1250 0.8750
Al 0.2500 0.6250 0.3750
Al 0.3750 0.2500 0.6250
Al 0.3750 0.6250 0.7500
Al 0.5000 0.0000 0.0000
Al 0.5000 0.0000 0.5000
Al 0.5000 0.5000 0.0000
Al 0.5000 0.5000 0.5000
Al 0.6250 0.3750 0.2500
Al 0.6250 0.7500 0.3750
Al 0.7500 0.3750 0.6250
Al 0.7500 0.8750 0.1250
Al 0.8750 0.1250 0.7500
Al 0.8750 0.2500 0.1250
H 0.0217 0.1964 0.1141
H 0.0217 0.3253 0.9076
H 0.0823 0.6964 0.6747
H 0.0823 0.8859 0.4076
H 0.0924 0.6141 0.4177
H 0.0924 0.9783 0.6747
H 0.1141 0.0217 0.1964
H 0.1141 0.5924 0.9177
H 0.1747 0.1964 0.5823
H 0.1747 0.4783 0.5924
H 0.1964 0.1141 0.0217
H 0.1964 0.5823 0.1747
H 0.3036 0.3253 0.9177
H 0.3036 0.4783 0.3859
H 0.3253 0.9076 0.0217
H 0.3253 0.9177 0.3036
H 0.3859 0.3036 0.4783
H 0.3859 0.5823 0.9076
H 0.4076 0.0823 0.8859
H 0.4076 0.8253 0.5217
H 0.4177 0.0924 0.6141
H 0.4177 0.8253 0.8036
H 0.4783 0.3859 0.3036
H 0.4783 0.5924 0.1747
H 0.5217 0.4076 0.8253
H 0.5217 0.6141 0.6964
H 0.5823 0.1747 0.1964
H 0.5823 0.9076 0.3859
H 0.5924 0.1747 0.4783
H 0.5924 0.9177 0.1141
H 0.6141 0.4177 0.0924
H 0.6141 0.6964 0.5217
H 0.6747 0.0823 0.6964
H 0.6747 0.0924 0.9783
H 0.6964 0.5217 0.6141
H 0.6964 0.6747 0.0823
H 0.8036 0.4177 0.8253
H 0.8036 0.8859 0.9783
H 0.8253 0.5217 0.4076
H 0.8253 0.8036 0.4177
H 0.8859 0.4076 0.0823
H 0.8859 0.9783 0.8036
H 0.9076 0.0217 0.3253
H 0.9076 0.3859 0.5823
H 0.9177 0.1141 0.5924
H 0.9177 0.3036 0.3253
H 0.9783 0.6747 0.0924
H 0.9783 0.8036 0.8859

Summary:
For the volume, the calculation gives 927.76 Å³/cell.

***

(8)
Below is a relaxed structure of BaAl2BiPd, with properties calculated at the PBE level.

a b c (Å): 4.9429 4.9429 5.9389
angles (deg): 90.00 90.00 90.00
Fractional positions:
Ba 0.0000 0.0000 0.0000
Al 0.0000 0.5000 0.5000
Al 0.5000 0.0000 0.5000
Bi 0.5000 0.5000 0.0000
Pd 0.0000 0.0000 0.5000

Summary:
Its formation energy from the elements is -1.4 eV per formula unit. For the volume, the calculation gives 145.10 Å³/cell.

***

(9)
Below is a relaxed structure of AlS2N2, with properties calculated at the PBE level.

a b c (Å): 4.6985 4.6985 3.6805
angles (deg): 90.00 90.00 90.00
Fractional positions:
Al 0.0000 0.0000 0.0000
S 0.0000 0.5000 0.0000
S 0.5000 0.0000 0.0000
N 0.0000 0.0000 0.5000
N 0.5000 0.5000 0.5000

Summary:
For the volume, the calculation gives 81.25 Å³/cell. The energy above the most stable polymorph in this dataset is 586.1 meV/atom. Its energy relative to the elements, uncorrected is 1.54 eV per atom.

***

(10)
Below is a relaxed structure of ErCdI, with properties calculated at the PBE level.

a b c (Å): 4.1880 4.2530 12.7027
angles (deg): 90.00 90.00 90.00
Fractional positions:
Er 0.2500 0.2500 0.1890
Er 0.7500 0.7500 0.8110
Cd 0.2500 0.7500 0.0089
Cd 0.7500 0.2500 0.9911
I 0.2500 0.7500 0.6419
I 0.7500 0.2500 0.3581

Summary:
For the volume, the calculation gives 226.25 Å³/cell. Its energy relative to the elements, uncorrected is -0.45 eV per atom.

***

(11)
Below is a relaxed structure of Pu2PaSi, with properties calculated at the PBE level.

a b c (Å): 3.7519 3.7519 6.2001
angles (deg): 90.00 90.00 90.00
Fractional positions:
Pu 0.0000 0.0000 0.2265
Pu 0.0000 0.0000 0.7735
Pa 0.5000 0.5000 0.5000
Si 0.5000 0.5000 0.0000

Summary:
For the volume, the calculation gives 87.28 Å³/cell. The energy above the most stable polymorph in this dataset is 26.7 meV/atom. Its energy relative to the elements, uncorrected is -0.21 eV per atom.

***

(12)
Below is a relaxed structure of CrRu2Pb, with properties calculated at the PBE level.

a b c (Å): 2.9469 3.8957 5.6938
angles (deg): 90.00 90.00 90.00
Fractional positions:
Cr 0.0000 0.0000 0.0000
Ru 0.0000 0.0000 0.5650
Ru 0.5000 0.5000 0.8155
Pb 0.5000 0.5000 0.3058

Summary:
Its formation energy from the elements is 2.0 eV per formula unit. For the volume, the calculation gives 65.37 Å³/cell.

***

Number 1: N(E_F) 0.9711 states/eV/atom, total DFT energy (no corrections) -2.9106 eV per atom, ρ 4.9 g cm⁻³. Number 2: N(E_F) 1.2890 states/eV/atom, total DFT energy (no corrections) -9.2758 eV per atom, ρ 12.1 g cm⁻³. Number 3: N(E_F) 0.4035 states/eV/atom, total DFT energy (no corrections) -5.0900 eV per atom, ρ 5.4 g cm⁻³. Number 4: N(E_F) 0.5488 states/eV/atom, total DFT energy (no corrections) -4.3188 eV per atom, ρ 4.8 g cm⁻³. Number 5: N(E_F) 1.1571 states/eV/atom, total DFT energy (no corrections) -3.7930 eV per atom, ρ 4.4 g cm⁻³. Number 6: N(E_F) 0.4534 states/eV/atom, total DFT energy (no corrections) -2.1228 eV per atom, ρ 5.9 g cm⁻³. Number 7: N(E_F) 0.2920 states/eV/atom, total DFT energy (no corrections) -3.6515 eV per atom, ρ 4.1 g cm⁻³. Number 8: N(E_F) 0.5280 states/eV/atom, total DFT energy (no corrections) -3.9755 eV per atom, ρ 5.8 g cm⁻³. Number 9: N(E_F) 0.8403 states/eV/atom, total DFT energy (no corrections) -4.1850 eV per atom, ρ 2.4 g cm⁻³. Number 10: N(E_F) 0.5399 states/eV/atom, total DFT energy (no corrections) -2.7908 eV per atom, ρ 6.0 g cm⁻³. Number 11: N(E_F) 2.7062 states/eV/atom, total DFT energy (no corrections) -11.1085 eV per atom, ρ 14.2 g cm⁻³. Number 12: N(E_F) 1.1100 states/eV/atom, total DFT energy (no corrections) -7.4694 eV per atom, ρ 11.7 g cm⁻³.